No. 1
# BaTcO3 SCAN PBEsol geometry
data_BaTcO3
_space_group_name_H-M_alt 'P 63/m m c'
_space_group_IT_number 194
_space_group_name_Hall '-P 6c 2c'
_cell_length_a 5.7292
_cell_length_b 5.7292
_cell_length_c 13.8485
_cell_angle_alpha 90.00
_cell_angle_beta 90.00
_cell_angle_gamma 120.00
loop_
_atom_site_label
_atom_site_type_symbol
_atom_site_fract_x
_atom_site_fract_y
_atom_site_fract_z
Ba1 Ba 0.0000 0.0000 0.2500
Ba2 Ba 0.3333 0.6667 0.0923
Tc1 Tc 0.0000 0.0000 0.0000
Tc2 Tc 0.3333 0.6667 0.6605
O1 O 0.0137 0.5068 0.7500
O2 O 0.1654 0.3308 0.5815
# formation energy (no corrections)	-2.3877	eV per atom
# Fermi-level density of states	1.3	states/eV/cell

---

No. 2
# BaZnTc2O SCAN PBEsol geometry
data_BaZnTc2O
_space_group_name_H-M_alt 'P 4/m m m'
_space_group_IT_number 123
_space_group_name_Hall '-P 4 2'
_cell_length_a 5.175
_cell_length_b 5.175
_cell_length_c 4.357
_cell_angle_alpha 90.00
_cell_angle_beta 90.00
_cell_angle_gamma 90.00
loop_
_atom_site_label
_atom_site_type_symbol
_atom_site_fract_x
_atom_site_fract_y
_atom_site_fract_z
Ba1 Ba 0.000 0.000 0.000
Zn1 Zn 0.500 0.500 0.500
Tc1 Tc 0.000 0.500 0.000
O1 O 0.000 0.000 0.500
# formation energy (no corrections)	2.0630	eV per atom
# Fermi-level density of states	4.8	states/eV/cell

---

No. 3
# Ba3Te4O11 SCAN PBEsol geometry
data_Ba3Te4O11
_space_group_name_H-M_alt 'P -1'
_space_group_IT_number 2
_cell_length_a 7.985
_cell_length_b 9.316
_cell_length_c 9.983
_cell_angle_alpha 97.48
_cell_angle_beta 111.46
_cell_angle_gamma 103.46
loop_
_space_group_symop_operation_xyz
'x,y,z'
'-x,-y,-z'
loop_
_atom_site_label
_atom_site_type_symbol
_atom_site_fract_x
_atom_site_fract_y
_atom_site_fract_z
Ba1 Ba 0.150 0.403 0.180
Ba2 Ba 0.277 0.545 0.632
Ba3 Ba 0.309 0.012 0.113
Te1 Te 0.061 0.763 0.284
Te2 Te 0.083 0.892 0.702
Te3 Te 0.421 0.185 0.536
Te4 Te 0.469 0.311 0.936
O1 O 0.004 0.044 0.155
O2 O 0.073 0.686 0.105
O3 O 0.076 0.596 0.369
O4 O 0.147 0.269 0.422
O5 O 0.208 0.767 0.806
O6 O 0.252 0.358 0.816
O7 O 0.343 0.876 0.369
O8 O 0.397 0.098 0.865
O9 O 0.408 0.312 0.101
O10 O 0.466 0.220 0.371
O11 O 0.475 0.617 0.341
# formation energy (no corrections)	-1.9603	eV per atom
# Fermi-level density of states	0.0	states/eV/cell

---

No. 4
# BaTeO4 SCAN PBEsol geometry
data_BaTeO4
_space_group_name_H-M_alt 'P b c n'
_space_group_IT_number 60
_cell_length_a 5.963
_cell_length_b 13.644
_cell_length_c 5.078
_cell_angle_alpha 90.00
_cell_angle_beta 90.00
_cell_angle_gamma 90.00
loop_
_space_group_symop_operation_xyz
'x,y,z'
'-x,-y,-z'
'-x+1/2,-y+1/2,z+1/2'
'x+1/2,y+1/2,-z+1/2'
'x+1/2,-y+1/2,-z'
'-x+1/2,y+1/2,z'
'-x,y,-z+1/2'
'x,-y,z+1/2'
loop_
_atom_site_label
_atom_site_type_symbol
_atom_site_fract_x
_atom_site_fract_y
_atom_site_fract_z
Ba1 Ba 0.000 0.164 0.250
Te1 Te 0.000 0.433 0.250
O1 O 0.177 0.459 0.573
O2 O 0.210 0.338 0.146
# formation energy (no corrections)	-1.9515	eV per atom
# Fermi-level density of states	0.0	states/eV/cell

---

No. 5
# Ba2TeO SCAN PBEsol geometry
data_Ba2TeO
_space_group_name_H-M_alt 'I -4 2 d'
_space_group_IT_number 122
_space_group_name_Hall 'I -4 2bw'
_cell_length_a 7.749
_cell_length_b 7.749
_cell_length_c 8.687
_cell_angle_alpha 90.00
_cell_angle_beta 90.00
_cell_angle_gamma 90.00
loop_
_atom_site_label
_atom_site_type_symbol
_atom_site_fract_x
_atom_site_fract_y
_atom_site_fract_z
Ba1 Ba 0.159 0.250 0.125
Te1 Te 0.000 0.000 0.500
O1 O 0.000 0.000 0.000
# formation energy (no corrections)	-2.2684	eV per atom
# Fermi-level density of states	0.0	states/eV/cell

---

No. 6
# BaTe4O9 SCAN PBEsol geometry
data_BaTe4O9
_space_group_name_H-M_alt 'C 1 2/c 1'
_space_group_IT_number 15
_cell_length_a 19.655
_cell_length_b 4.456
_cell_length_c 22.908
_cell_angle_alpha 90.00
_cell_angle_beta 111.72
_cell_angle_gamma 90.00
loop_
_space_group_symop_operation_xyz
'x,y,z'
'-x,-y,-z'
'-x,y,-z+1/2'
'x,-y,z+1/2'
'x+1/2,y+1/2,z'
'-x+1/2,-y+1/2,-z'
'-x+1/2,y+1/2,-z+1/2'
'x+1/2,-y+1/2,z+1/2'
loop_
_atom_site_label
_atom_site_type_symbol
_atom_site_fract_x
_atom_site_fract_y
_atom_site_fract_z
Ba1 Ba 0.211 0.189 0.159
Te1 Te 0.040 0.347 0.654
Te2 Te 0.085 0.363 0.512
Te3 Te 0.113 0.149 0.283
Te4 Te 0.196 0.005 0.453
O1 O 0.006 0.486 0.056
O2 O 0.059 0.243 0.182
O3 O 0.091 0.255 0.748
O4 O 0.114 0.275 0.435
O5 O 0.126 0.295 0.640
O6 O 0.133 0.269 0.030
O7 O 0.167 0.092 0.863
O8 O 0.203 0.210 0.276
O9 O 0.235 0.196 0.551
# formation energy (no corrections)	-1.4806	eV per atom
# Fermi-level density of states	0.0	states/eV/cell

---

No. 7
# BaTe2O SCAN PBEsol geometry
data_BaTe2O
_space_group_name_H-M_alt 'R -3 m'
_space_group_IT_number 166
_space_group_name_Hall '-R 3 2"'
_cell_length_a 5.5426
_cell_length_b 5.5426
_cell_length_c 19.8965
_cell_angle_alpha 90.00
_cell_angle_beta 90.00
_cell_angle_gamma 120.00
loop_
_atom_site_label
_atom_site_type_symbol
_atom_site_fract_x
_atom_site_fract_y
_atom_site_fract_z
Ba1 Ba 0.0000 0.0000 0.0000
Te1 Te 0.0000 0.0000 0.4004
O1 O 0.0000 0.0000 0.5000
# formation energy (no corrections)	-0.7067	eV per atom
# Fermi-level density of states	2.4	states/eV/cell

---

No. 8
# BaTeO3 SCAN PBEsol geometry
data_BaTeO3
_space_group_name_H-M_alt 'P 1 21/m 1'
_space_group_IT_number 11
_cell_length_a 4.542
_cell_length_b 5.970
_cell_length_c 7.060
_cell_angle_alpha 90.00
_cell_angle_beta 106.13
_cell_angle_gamma 90.00
loop_
_space_group_symop_operation_xyz
'x,y,z'
'-x,-y,-z'
'-x,y+1/2,-z'
'x,-y+1/2,z'
loop_
_atom_site_label
_atom_site_type_symbol
_atom_site_fract_x
_atom_site_fract_y
_atom_site_fract_z
Ba1 Ba 0.164 0.250 0.314
Te1 Te 0.428 0.250 0.857
O1 O 0.142 0.750 0.106
O2 O 0.323 0.013 0.675
# formation energy (no corrections)	-2.1065	eV per atom
# Fermi-level density of states	0.0	states/eV/cell